1.
VASP calculation (PBE) on a geometry-optimized ReMo2Br structure.

Lattice parameters (Å, degrees): 4.5176 2.9746 5.2387 90.00 106.95 90.00
Element x y z (fractional)
Re1 0.0000 0.0000 0.0000
Mo1 0.0000 0.0000 0.5000
Mo2 0.5000 0.5000 0.0000
Br1 0.5000 0.5000 0.5000

Computed properties:
ΔE to the lowest computed polymorph: 0.570 eV per atom
space group: P2/m (10)
volume: 16.84 Å³/atom
E_form (uncorrected): 376 kJ/mol of formula units
total magnetic moment: 0.0 μB/cell

---

2.
VASP calculation (PBE) on a geometry-optimized Re2MoBr structure.

Lattice parameters (Å, degrees): 5.1887 5.1887 5.1887 136.81 136.81 62.72
Element x y z (fractional)
Re1 0.2500 0.7500 0.5000
Re2 0.7500 0.2500 0.5000
Mo1 0.0000 0.0000 0.0000
Br1 0.5000 0.5000 0.0000

Computed properties:
ΔE to the lowest computed polymorph: 0.705 eV per atom
space group: I4/mmm (139)
volume: 16.16 Å³/atom
E_form (uncorrected): 502 kJ/mol of formula units
total magnetic moment: 0.0 μB/cell

---

3.
VASP calculation (PBE) on a geometry-optimized ReMo2Br structure.

Lattice parameters (Å, degrees): 3.0767 3.8217 6.4259 90.00 90.00 90.00
Element x y z (fractional)
Re1 0.0000 0.0000 0.0000
Mo1 0.5000 0.5000 0.1815
Mo2 0.5000 0.5000 0.8185
Br1 0.0000 0.0000 0.5000

Computed properties:
ΔE to the lowest computed polymorph: 0.272 eV per atom
space group: Pmmm (47)
volume: 18.89 Å³/atom
E_form (uncorrected): 261 kJ/mol of formula units
total magnetic moment: 0.0 μB/cell

---

4.
VASP calculation (PBE) on a geometry-optimized ReMo2Br structure.

Lattice parameters (Å, degrees): 3.0367 4.5966 4.5988 90.00 90.00 90.00
Element x y z (fractional)
Re1 0.0000 0.0000 0.0000
Mo1 0.0000 0.5000 0.5000
Mo2 0.5000 0.5000 0.0000
Br1 0.5000 0.0000 0.5000

Computed properties:
ΔE to the lowest computed polymorph: 0.532 eV per atom
space group: Pmmm (47)
volume: 16.05 Å³/atom
E_form (uncorrected): 362 kJ/mol of formula units
total magnetic moment: 0.0 μB/cell

---

5.
VASP calculation (PBE) on a geometry-optimized ReMoBr2 structure.

Lattice parameters (Å, degrees): 4.5431 4.5431 4.5431 60.00 60.00 60.00
Element x y z (fractional)
Re1 0.0000 0.0000 0.0000
Mo1 0.5000 0.5000 0.5000
Br1 0.2500 0.2500 0.2500
Br2 0.7500 0.7500 0.7500

Computed properties:
ΔE to the lowest computed polymorph: 1.295 eV per atom
space group: Fm-3m (225)
volume: 16.58 Å³/atom
E_form (uncorrected): 552 kJ/mol of formula units
total magnetic moment: 0.0 μB/cell

---

6.
VASP calculation (PBE) on a geometry-optimized ReMo2Br structure.

Lattice parameters (Å, degrees): 5.0207 5.0207 2.9637 99.30 99.30 114.30
Element x y z (fractional)
Re1 0.0000 0.0000 0.0000
Mo1 0.0000 0.5000 0.5000
Mo2 0.5000 0.0000 0.5000
Br1 0.5000 0.5000 0.0000

Computed properties:
ΔE to the lowest computed polymorph: 0.528 eV per atom
space group: C2/m (12)
volume: 16.25 Å³/atom
E_form (uncorrected): 361 kJ/mol of formula units
total magnetic moment: 0.0 μB/cell

---

7.
VASP calculation (PBE) on a geometry-optimized Re2MoBr structure.

Lattice parameters (Å, degrees): 2.9519 4.6258 4.6339 90.00 90.00 90.00
Element x y z (fractional)
Re1 0.0000 0.0000 0.0000
Re2 0.5000 0.5000 0.0000
Mo1 0.0000 0.5000 0.5000
Br1 0.5000 0.0000 0.5000

Computed properties:
ΔE to the lowest computed polymorph: 0.365 eV per atom
space group: Pmmm (47)
volume: 15.82 Å³/atom
E_form (uncorrected): 371 kJ/mol of formula units
total magnetic moment: 0.0 μB/cell

---

8.
VASP calculation (PBE) on a geometry-optimized ReMo2Br structure.

Lattice parameters (Å, degrees): 9.0988 9.0988 9.0988 18.68 18.68 18.68
Element x y z (fractional)
Re1 0.0000 0.0000 0.0000
Mo1 0.4933 0.4933 0.4933
Mo2 0.7417 0.7417 0.7417
Br1 0.2367 0.2367 0.2367

Computed properties:
ΔE to the lowest computed polymorph: 0.169 eV per atom
space group: R3m (160)
volume: 16.87 Å³/atom
E_form (uncorrected): 222 kJ/mol of formula units
total magnetic moment: 0.0 μB/cell

---

Q: Among the records above, which one has the lowest ΔE to the lowest computed polymorph?
A: number 8

---

Q: Number 7 is which compound?
A: Re2MoBr

---

Q: total magnetic moment of number 5 (ReMoBr2)?
A: 0.0 μB/cell